1.
# BaCdOs2 (PBE-GGA, relaxed)
data_BaCdOs2
_chemical_formula_sum 'Ba1 Cd1 Os2'
_cell_length_a 5.731
_cell_length_b 5.731
_cell_length_c 2.791
_cell_angle_alpha 90.00
_cell_angle_beta 90.00
_cell_angle_gamma 113.28
_space_group_name_H-M_alt 'P 1'
_space_group_IT_number 1
loop_
_space_group_symop_operation_xyz
'x,y,z'
loop_
_atom_site_label
_atom_site_fract_x
_atom_site_fract_y
_atom_site_fract_z
Os1 0.500 0.500 0.000
Os2 0.000 0.000 0.000
Ba1 0.500 0.000 0.500
Cd1 0.000 0.500 0.500
# Theoretical density = 12426 kg/m3
# DFT formation energy = 1.35 eV per atom
# Fermi-level density of states = 0.93 states/eV per atom
# Size of the total moment = 0.000 μB per atom



2.
# BaCd2Os (PBE-GGA, relaxed)
data_BaCd2Os
_chemical_formula_sum 'Ba1 Cd2 Os1'
_cell_length_a 3.668
_cell_length_b 3.664
_cell_length_c 7.781
_cell_angle_alpha 90.00
_cell_angle_beta 90.00
_cell_angle_gamma 90.00
_space_group_name_H-M_alt 'P 1'
_space_group_IT_number 1
loop_
_space_group_symop_operation_xyz
'x,y,z'
loop_
_atom_site_label
_atom_site_fract_x
_atom_site_fract_y
_atom_site_fract_z
Cd1 0.000 0.000 0.067
Cd2 0.500 0.500 0.294
Ba1 0.500 0.500 0.711
Os1 0.000 0.000 0.428
# Theoretical density = 8773 kg/m3
# DFT formation energy = 0.49 eV per atom
# Fermi-level density of states = 0.51 states/eV per atom
# Size of the total moment = 0.000 μB per atom



3.
# BaCd2Os (PBE-GGA, relaxed)
data_BaCd2Os
_chemical_formula_sum 'Ba1 Cd2 Os1'
_cell_length_a 10.920
_cell_length_b 10.920
_cell_length_c 10.920
_cell_angle_alpha 16.42
_cell_angle_beta 16.42
_cell_angle_gamma 16.42
_space_group_name_H-M_alt 'P 1'
_space_group_IT_number 1
loop_
_space_group_symop_operation_xyz
'x,y,z'
loop_
_atom_site_label
_atom_site_fract_x
_atom_site_fract_y
_atom_site_fract_z
Os1 0.250 0.250 0.250
Cd1 0.987 0.987 0.987
Cd2 0.513 0.513 0.513
Ba1 0.750 0.750 0.750
# Theoretical density = 10112 kg/m3
# DFT formation energy = 0.74 eV per atom
# Fermi-level density of states = 0.76 states/eV per atom
# Size of the total moment = 0.140 μB per atom



4.
# BaCd2Os (PBE-GGA, relaxed)
data_BaCd2Os
_chemical_formula_sum 'Ba1 Cd2 Os1'
_cell_length_a 7.868
_cell_length_b 7.868
_cell_length_c 7.868
_cell_angle_alpha 156.09
_cell_angle_beta 146.25
_cell_angle_gamma 41.78
_space_group_name_H-M_alt 'P 1'
_space_group_IT_number 1
loop_
_space_group_symop_operation_xyz
'x,y,z'
loop_
_atom_site_label
_atom_site_fract_x
_atom_site_fract_y
_atom_site_fract_z
Ba1 0.321 0.821 0.500
Os1 0.506 0.506 0.000
Cd1 0.661 0.161 0.500
Cd2 0.012 0.012 0.000
# Theoretical density = 8380 kg/m3
# DFT formation energy = 0.44 eV per atom
# Fermi-level density of states = 0.72 states/eV per atom
# Size of the total moment = 0.039 μB per atom



5.
# BaCd2Os (PBE-GGA, relaxed)
data_BaCd2Os
_chemical_formula_sum 'Ba1 Cd2 Os1'
_cell_length_a 5.186
_cell_length_b 5.186
_cell_length_c 5.186
_cell_angle_alpha 60.00
_cell_angle_beta 60.00
_cell_angle_gamma 60.00
_space_group_name_H-M_alt 'P 1'
_space_group_IT_number 1
loop_
_space_group_symop_operation_xyz
'x,y,z'
loop_
_atom_site_label
_atom_site_fract_x
_atom_site_fract_y
_atom_site_fract_z
Ba1 0.500 0.500 0.500
Cd1 0.000 0.000 0.000
Cd2 0.250 0.250 0.250
Os1 0.750 0.750 0.750
# Theoretical density = 9299 kg/m3
# DFT formation energy = 0.71 eV per atom
# Fermi-level density of states = 0.30 states/eV per atom
# Size of the total moment = 0.000 μB per atom



6.
# BaCdOs2 (PBE-GGA, relaxed)
data_BaCdOs2
_chemical_formula_sum 'Ba1 Cd1 Os2'
_cell_length_a 5.911
_cell_length_b 5.911
_cell_length_c 2.959
_cell_angle_alpha 76.56
_cell_angle_beta 76.56
_cell_angle_gamma 118.13
_space_group_name_H-M_alt 'P 1'
_space_group_IT_number 1
loop_
_space_group_symop_operation_xyz
'x,y,z'
loop_
_atom_site_label
_atom_site_fract_x
_atom_site_fract_y
_atom_site_fract_z
Os1 0.000 0.000 0.000
Os2 0.500 0.500 0.000
Cd1 0.000 0.500 0.500
Ba1 0.500 0.000 0.500
# Theoretical density = 12869 kg/m3
# DFT formation energy = 1.29 eV per atom
# Fermi-level density of states = 1.47 states/eV per atom
# Size of the total moment = 0.049 μB per atom



7.
# BaCdOs2 (PBE-GGA, relaxed)
data_BaCdOs2
_chemical_formula_sum 'Ba1 Cd1 Os2'
_cell_length_a 10.507
_cell_length_b 10.507
_cell_length_c 10.507
_cell_angle_alpha 16.28
_cell_angle_beta 16.28
_cell_angle_gamma 16.28
_space_group_name_H-M_alt 'P 1'
_space_group_IT_number 1
loop_
_space_group_symop_operation_xyz
'x,y,z'
loop_
_atom_site_label
_atom_site_fract_x
_atom_site_fract_y
_atom_site_fract_z
Os1 0.490 0.490 0.490
Os2 0.010 0.010 0.010
Ba1 0.250 0.250 0.250
Cd1 0.750 0.750 0.750
# Theoretical density = 13163 kg/m3
# DFT formation energy = 1.24 eV per atom
# Fermi-level density of states = 0.73 states/eV per atom
# Size of the total moment = 0.000 μB per atom



8.
# BaCd2Os2 (PBE-GGA, relaxed)
data_BaCd2Os2
_chemical_formula_sum 'Ba1 Cd2 Os2'
_cell_length_a 4.791
_cell_length_b 4.791
_cell_length_c 6.297
_cell_angle_alpha 67.64
_cell_angle_beta 67.64
_cell_angle_gamma 90.00
_space_group_name_H-M_alt 'P 1'
_space_group_IT_number 1
loop_
_space_group_symop_operation_xyz
'x,y,z'
loop_
_atom_site_label
_atom_site_fract_x
_atom_site_fract_y
_atom_site_fract_z
Os1 0.607 0.607 0.785
Os2 0.393 0.393 0.215
Cd1 0.750 0.250 0.500
Cd2 0.250 0.750 0.500
Ba1 0.000 0.000 0.000
# Offset from the most stable computed form = 0 meV/atom
# Theoretical density = 10122 kg/m3
# DFT formation energy = 0.53 eV per atom
# Fermi-level density of states = 1.48 states/eV per atom
# Size of the total moment = 0.000 μB per atom



9.
# BaCdOs2 (PBE-GGA, relaxed)
data_BaCdOs2
_chemical_formula_sum 'Ba1 Cd1 Os2'
_cell_length_a 6.362
_cell_length_b 6.362
_cell_length_c 6.362
_cell_angle_alpha 152.71
_cell_angle_beta 129.37
_cell_angle_gamma 58.47
_space_group_name_H-M_alt 'P 1'
_space_group_IT_number 1
loop_
_space_group_symop_operation_xyz
'x,y,z'
loop_
_atom_site_label
_atom_site_fract_x
_atom_site_fract_y
_atom_site_fract_z
Cd1 0.211 0.711 0.500
Ba1 0.515 0.515 0.000
Os1 0.976 0.976 0.000
Os2 0.798 0.298 0.500
# Theoretical density = 11537 kg/m3
# DFT formation energy = 0.91 eV per atom
# Fermi-level density of states = 0.99 states/eV per atom
# Size of the total moment = 0.000 μB per atom



10.
# BaCd2Os (PBE-GGA, relaxed)
data_BaCd2Os
_chemical_formula_sum 'Ba1 Cd2 Os1'
_cell_length_a 3.134
_cell_length_b 4.186
_cell_length_c 7.340
_cell_angle_alpha 90.00
_cell_angle_beta 90.00
_cell_angle_gamma 90.00
_space_group_name_H-M_alt 'P 1'
_space_group_IT_number 1
loop_
_space_group_symop_operation_xyz
'x,y,z'
loop_
_atom_site_label
_atom_site_fract_x
_atom_site_fract_y
_atom_site_fract_z
Cd1 0.000 0.000 0.064
Cd2 0.000 0.000 0.436
Os1 0.500 0.500 0.250
Ba1 0.500 0.500 0.750
# Theoretical density = 9527 kg/m3
# DFT formation energy = 0.52 eV per atom
# Fermi-level density of states = 0.88 states/eV per atom
# Size of the total moment = 0.097 μB per atom



11.
# BaCdOs2 (PBE-GGA, relaxed)
data_BaCdOs2
_chemical_formula_sum 'Ba1 Cd1 Os2'
_cell_length_a 5.174
_cell_length_b 5.174
_cell_length_c 6.305
_cell_angle_alpha 81.85
_cell_angle_beta 81.85
_cell_angle_gamma 34.34
_space_group_name_H-M_alt 'P 1'
_space_group_IT_number 1
loop_
_space_group_symop_operation_xyz
'x,y,z'
loop_
_atom_site_label
_atom_site_fract_x
_atom_site_fract_y
_atom_site_fract_z
Ba1 0.750 0.750 0.750
Cd1 0.250 0.250 0.250
Os1 0.984 0.984 0.099
Os2 0.516 0.516 0.401
# Theoretical density = 11114 kg/m3
# DFT formation energy = 0.91 eV per atom
# Fermi-level density of states = 1.43 states/eV per atom
# Size of the total moment = 0.000 μB per atom



12.
# BaCd2Os (PBE-GGA, relaxed)
data_BaCd2Os
_chemical_formula_sum 'Ba1 Cd2 Os1'
_cell_length_a 4.796
_cell_length_b 4.796
_cell_length_c 6.348
_cell_angle_alpha 67.83
_cell_angle_beta 67.83
_cell_angle_gamma 60.00
_space_group_name_H-M_alt 'P 1'
_space_group_IT_number 1
loop_
_space_group_symop_operation_xyz
'x,y,z'
loop_
_atom_site_label
_atom_site_fract_x
_atom_site_fract_y
_atom_site_fract_z
Cd1 0.771 0.771 0.687
Cd2 0.051 0.051 0.849
Os1 0.433 0.433 0.702
Ba1 0.246 0.246 0.262
# Theoretical density = 8061 kg/m3
# DFT formation energy = 0.36 eV per atom
# Fermi-level density of states = 0.59 states/eV per atom
# Size of the total moment = 0.000 μB per atom